Record 1
NaMg14Zn: optimized geometry, PBE-GGA.

Calculated values
The value obtained for the offset from the most stable computed form is 0 meV per atom. The space group is Amm2, No. 38. The energy relative to the elements comes out at 13 meV/atom.

abc: 10.450 6.339 6.339
angles: 60.06 90.00 90.00
Positions (direct):
Na  0.000  0.000  0.000
Mg  0.000  0.504  0.996
Mg  0.000  0.996  0.504
Mg  0.240  0.337  0.337
Mg  0.247  0.338  0.830
Mg  0.247  0.830  0.338
Mg  0.255  0.833  0.833
Mg  0.500  0.002  0.002
Mg  0.500  0.003  0.499
Mg  0.500  0.499  0.003
Mg  0.500  0.501  0.501
Mg  0.745  0.833  0.833
Mg  0.753  0.338  0.830
Mg  0.753  0.830  0.338
Mg  0.760  0.337  0.337
Zn  0.000  0.504  0.504


Record 2
Cs12LiAu7: optimized geometry, PBE-GGA.

Calculated values
The space group is R-3, No. 148. The energy relative to the elements comes out at -246 meV/atom.

abc: 11.565 11.565 11.565
angles: 110.35 110.35 110.35
Positions (direct):
Cs  0.093  0.235  0.660
Cs  0.117  0.395  0.323
Cs  0.235  0.660  0.093
Cs  0.323  0.117  0.395
Cs  0.340  0.907  0.765
Cs  0.395  0.323  0.117
Cs  0.605  0.677  0.883
Cs  0.660  0.093  0.235
Cs  0.677  0.883  0.605
Cs  0.765  0.340  0.907
Cs  0.883  0.605  0.677
Cs  0.907  0.765  0.340
Li  0.000  0.000  0.000
Au  0.019  0.218  0.945
Au  0.055  0.981  0.782
Au  0.218  0.945  0.019
Au  0.500  0.500  0.500
Au  0.782  0.055  0.981
Au  0.945  0.019  0.218
Au  0.981  0.782  0.055


Record 3
Dy12Tl5Ag2: optimized geometry, PBE-GGA.

Calculated values
The space group is C2/m, No. 12. The energy relative to the elements comes out at -121 meV/atom.

abc: 9.286 9.286 9.051
angles: 95.91 95.91 45.93
Positions (direct):
Dy  0.004  0.004  0.193
Dy  0.094  0.607  0.991
Dy  0.100  0.583  0.580
Dy  0.393  0.906  0.009
Dy  0.417  0.900  0.420
Dy  0.458  0.458  0.314
Dy  0.542  0.542  0.686
Dy  0.583  0.100  0.580
Dy  0.607  0.094  0.991
Dy  0.900  0.417  0.420
Dy  0.906  0.393  0.009
Dy  0.996  0.996  0.807
Tl  0.199  0.199  0.735
Tl  0.271  0.271  0.248
Tl  0.500  0.500  0.000
Tl  0.729  0.729  0.752
Tl  0.801  0.801  0.265
Ag  0.182  0.818  0.500
Ag  0.818  0.182  0.500


Record 4
Dy6Te3AsS2: optimized geometry, PBE-GGA.

Calculated values
The value obtained for the uncorrected formation energy is -154.6 kJ/mol of atoms. The space group is C2/m, No. 12.

abc: 7.118 7.118 7.405
angles: 99.24 99.24 119.96
Positions (direct):
Dy  0.092  0.430  0.792
Dy  0.229  0.229  0.206
Dy  0.430  0.092  0.792
Dy  0.570  0.908  0.208
Dy  0.771  0.771  0.794
Dy  0.908  0.570  0.208
Te  0.000  0.000  0.500
Te  0.335  0.665  0.500
Te  0.665  0.335  0.500
As  0.500  0.500  0.000
S  0.167  0.833  0.000
S  0.833  0.167  0.000


Record 5
Ac2Th2Te7: optimized geometry, PBE-GGA.

Calculated values
The value obtained for the uncorrected formation energy is -118.8 kJ/mol of atoms. The value obtained for the offset from the most stable computed form is 142 meV per atom. The space group is P-4m2, No. 115.

abc: 5.407 5.407 15.519
angles: 90.00 90.00 90.00
Positions (direct):
Ac  0.000  0.500  0.142
Ac  0.500  0.000  0.858
Th  0.000  0.500  0.621
Th  0.500  0.000  0.379
Te  0.000  0.000  0.254
Te  0.000  0.000  0.500
Te  0.000  0.000  0.746
Te  0.500  0.500  0.000
Te  0.500  0.500  0.266
Te  0.500  0.500  0.500
Te  0.500  0.500  0.734


Record 6
LiB4C4: optimized geometry, PBE-GGA.

Calculated values
The value obtained for the offset from the most stable computed form is 138 meV per atom. The space group is P-6m2, No. 187. The energy relative to the elements comes out at 227 meV/atom.

abc: 2.719 2.719 24.386
angles: 90.00 90.00 120.00
Positions (direct):
Li  0.000  0.000  0.184
Li  0.000  0.000  0.816
B  0.333  0.667  0.000
B  0.333  0.667  0.256
B  0.333  0.667  0.500
B  0.333  0.667  0.744
B  0.667  0.333  0.109
B  0.667  0.333  0.409
B  0.667  0.333  0.591
B  0.667  0.333  0.891
C  0.333  0.667  0.112
C  0.333  0.667  0.408
C  0.333  0.667  0.592
C  0.333  0.667  0.888
C  0.667  0.333  0.000
C  0.667  0.333  0.253
C  0.667  0.333  0.500
C  0.667  0.333  0.747


Computed magnetization (μB per formula unit) in order:
0.0, 0.0, 0.0, 0.0, 0.0, 0.0